(1)
# GGA-PBE Y2PuIr2, relaxed
data_Y2PuIr2
_chemical_formula_sum 'Y4 Pu2 Ir4'
_symmetry_space_group_name_H-M 'I m m m'
_symmetry_Int_Tables_number 71
_symmetry_space_group_name_Hall '-I 2 2'
_cell_length_a 4.249
_cell_length_b 6.047
_cell_length_c 8.948
_cell_angle_alpha 90.00
_cell_angle_beta 90.00
_cell_angle_gamma 90.00
loop_
_atom_site_label
_atom_site_type_symbol
_atom_site_fract_x
_atom_site_fract_y
_atom_site_fract_z
Y1 Y 0.000 0.000 0.199
Pu1 Pu 0.000 0.500 0.000
Ir1 Ir 0.000 0.277 0.500
# Energy of formation = -0.639 eV/atom
# Spin magnetization = 5.294 μB/f.u.
# DOS(E_F) = 18.70 states/eV/cell

***

(2)
# GGA-PBE Y2PuIr2, relaxed
data_Y2PuIr2
_chemical_formula_sum 'Y8 Pu4 Ir8'
_symmetry_space_group_name_H-M 'I b a m'
_symmetry_Int_Tables_number 72
_symmetry_space_group_name_Hall '-I 2 2c'
_cell_length_a 7.733
_cell_length_b 10.763
_cell_length_c 5.793
_cell_angle_alpha 90.00
_cell_angle_beta 90.00
_cell_angle_gamma 90.00
loop_
_atom_site_label
_atom_site_type_symbol
_atom_site_fract_x
_atom_site_fract_y
_atom_site_fract_z
Y1 Y 0.142 0.176 0.000
Pu1 Pu 0.000 0.500 0.250
Ir1 Ir 0.210 0.085 0.500
# Energy of formation = -0.495 eV/atom
# Spin magnetization = 5.548 μB/f.u.
# DOS(E_F) = 39.66 states/eV/cell

***

(3)
# GGA-PBE YPu2Ir2, relaxed
data_YPu2Ir2
_chemical_formula_sum 'Y2 Pu4 Ir4'
_symmetry_space_group_name_H-M 'C 1 2/m 1'
_symmetry_Int_Tables_number 12
_symmetry_space_group_name_Hall '-C 2y'
_cell_length_a 8.544
_cell_length_b 4.926
_cell_length_c 5.620
_cell_angle_alpha 90.00
_cell_angle_beta 90.07
_cell_angle_gamma 90.00
loop_
_atom_site_label
_atom_site_type_symbol
_atom_site_fract_x
_atom_site_fract_y
_atom_site_fract_z
Y1 Y 0.000 0.000 0.000
Pu1 Pu 0.166 0.500 0.665
Ir1 Ir 0.167 0.500 0.166
# Energy of formation = -0.472 eV/atom
# Spin magnetization = 10.505 μB/f.u.
# DOS(E_F) = 24.13 states/eV/cell

***

(4)
# GGA-PBE Y3PuIr4, relaxed
data_Y3PuIr4
_chemical_formula_sum 'Y3 Pu1 Ir4'
_symmetry_space_group_name_H-M 'P m m m'
_symmetry_Int_Tables_number 47
_symmetry_space_group_name_Hall '-P 2 2'
_cell_length_a 3.281
_cell_length_b 4.949
_cell_length_c 9.979
_cell_angle_alpha 90.00
_cell_angle_beta 90.00
_cell_angle_gamma 90.00
loop_
_atom_site_label
_atom_site_type_symbol
_atom_site_fract_x
_atom_site_fract_y
_atom_site_fract_z
Y1 Y 0.000 0.000 0.000
Y2 Y 0.000 0.500 0.248
Pu1 Pu 0.000 0.000 0.500
Ir1 Ir 0.500 0.000 0.251
Ir2 Ir 0.500 0.500 0.000
Ir3 Ir 0.500 0.500 0.500
# Energy of formation = -0.669 eV/atom
# Spin magnetization = 4.714 μB/f.u.
# DOS(E_F) = 10.09 states/eV/cell